Computed, not measured: a relaxed structure of Nd2CuPd9 at the GGA-PBE level of DFT.

Structure (extended XYZ):
```
12
Lattice="4.1829 0.0000 0.0000 0.0000 4.1829 0.0000 0.0000 0.0000 11.9206" Properties=species:S:1:pos:R:3 pbc="T T T"
Nd 0.0000 0.0000 2.1285
Nd 0.0000 0.0000 9.7920
Cu 0.0000 0.0000 5.9603
Pd 0.0000 2.0915 0.0000
Pd 0.0000 2.0915 4.2148
Pd 0.0000 2.0915 7.7058
Pd 2.0915 0.0000 0.0000
Pd 2.0915 0.0000 4.2148
Pd 2.0915 0.0000 7.7058
Pd 2.0915 2.0915 2.0970
Pd 2.0915 2.0915 5.9603
Pd 2.0915 2.0915 9.8235
```

Results
DFT total energy ... -5.53 eV/atom
Magnetization ... 0.0 μB per cell
Formation energy ... -0.50 eV/atom
DOS(E_F) ... 12.5 states/eV/f.u.